This record from Alexandria via LeMat-Bulk describes crystalline ZrSi3Ir2 at its relaxed geometry. The functional is PBE.

Cell: 14.5998 4.0587 7.4287 Å, 90.00 120.51 90.00°
Last column: nearest neighbours and their distance in Å.
Space group C2/m (No. 12)
One atom of each set of equivalent atoms:
Zr (0.1341, 0.0000, 0.1519) x4  8 Si 2.82-3.11, 6 Ir 2.92-2.99
Si (0.0090, 0.0000, 0.6656) x4  1 Si 2.34, 2 Ir 2.37
Si (0.1651, 0.5000, 0.4492) x4  4 Ir 2.38-2.57
Si (0.1890, 0.5000, 0.9055) x4  1 Ir 2.35, 2 Si 2.59
Ir (0.0131, 0.5000, 0.8355) x4  4 Si 2.35-2.38
Ir (0.1922, 0.0000, 0.6550) x4  5 Si 2.45-2.72

* spin magnetization: 0.000 Bohr magnetons per cell
* electronic total energy: -185.59 eV per cell
* formation energy from raw total energies: -0.6432 eV/atom
* calculated volume: 379.24 Å³/cell
* density: 9.81 g cm⁻³

This record from Alexandria via LeMat-Bulk describes crystalline Co2TcRh at its relaxed geometry. The functional is PBE.

Cell: 2.6607 2.6607 25.2044 Å, 90.00 90.00 120.00°
Last column: nearest neighbours and their distance in Å.
Space group R3m (No. 160, hexagonal axes)
One atom of each set of equivalent atoms:
Co (0.0000, 0.0000, 0.0000) x3  9 Co 2.47-2.66, 3 Rh 2.64
Co (0.0000, 0.0000, 0.2567) x3  9 Co 2.47-2.66, 3 Tc 2.63
Tc (0.0000, 0.0000, 0.5054) x3  3 Co 2.63, 6 Tc 2.66, 3 Rh 2.67
Rh (0.0000, 0.0000, 0.7520) x3  3 Co 2.64, 6 Rh 2.66, 3 Tc 2.67

* spin magnetization: 9.439 Bohr magnetons per cell
* electronic total energy: -94.50 eV per cell
* ΔE to the lowest computed polymorph: 0.29 eV/f.u.
* calculated volume: 154.52 Å³/cell
* formation energy from the elements: 0.107 eV per atom
* density: 10.28 g cm⁻³

This record from Alexandria via LeMat-Bulk describes crystalline LiPm4Mg3 at its relaxed geometry. The functional is PBE.

Cell: 5.4485 5.4485 26.6760 Å, 90.00 90.00 120.00°
Last column: nearest neighbours and their distance in Å.
Space group R-3m (No. 166, hexagonal axes)
One atom of each set of equivalent atoms:
Li (0.0000, 0.0000, 0.0000) x3  8 Pm 3.31-3.33
Pm (0.0000, 0.0000, 0.1239) x6  1 Li 3.31, 7 Mg 3.32-3.35
Pm (0.0000, 0.0000, 0.3742) x6  3 Li 3.33, 5 Mg 3.35-3.36
Mg (0.0000, 0.0000, 0.2487) x6  8 Pm 3.32-3.36
Mg (0.0000, 0.0000, 0.5000) x3  8 Pm 3.35-3.36

* spin magnetization: 0.000 Bohr magnetons per cell
* electronic total energy: -78.37 eV per cell
* calculated volume: 685.82 Å³/cell
* formation energy from the elements: -0.053 eV per atom
* density: 4.79 g cm⁻³

This record from Alexandria via LeMat-Bulk describes crystalline BeNiCl at its relaxed geometry. The functional is PBE.

Cell: 5.5137 5.5137 5.5137 Å, 90.00 90.00 90.00°
Last column: nearest neighbours and their distance in Å.
Space group F-43m (No. 216)
One atom of each set of equivalent atoms:
Be (0.0000, 0.0000, 0.0000) x4  4 Ni 2.39
Ni (0.2500, 0.2500, 0.2500) x4  4 Cl 2.39, 4 Be 2.39
Cl (0.0000, 0.0000, 0.5000) x4  4 Ni 2.39

* spin magnetization: 0.000 Bohr magnetons per cell
* electronic total energy: -40.17 eV per cell
* ΔE to the lowest computed polymorph: 2.57 eV/f.u.
* formation energy from raw total energies: 0.4370 eV/atom
* calculated volume: 167.62 Å³/cell
* density: 4.09 g cm⁻³

This record from Alexandria via LeMat-Bulk describes crystalline KY2Al at its relaxed geometry. The functional is PBE.

Cell: 9.3669 3.6267 8.5915 Å, 90.00 95.87 90.00°
Last column: nearest neighbours and their distance in Å.
Space group C2/m (No. 12)
One atom of each set of equivalent atoms:
K (0.0000, 0.0000, 0.0000) x2  2 K 3.63, 2 Y 3.76
Y (0.2251, 0.0000, 0.6615) x4  3 Al 3.01-3.05
Al (0.0000, 0.5000, 0.5000) x2  6 Y 3.01-3.05

* spin magnetization: 0.000 Bohr magnetons per cell
* electronic total energy: -34.07 eV per cell
* calculated volume: 290.33 Å³/cell
* formation energy from the elements: 0.183 eV per atom
* density: 2.79 g cm⁻³

This record from Alexandria via LeMat-Bulk describes crystalline MnSnPb2S5 at its relaxed geometry. The functional is PBE.

Cell: 3.9098 16.6732 12.8048 Å, 90.00 90.00 90.00°
Last column: nearest neighbours and their distance in Å.
Space group Cmc2_1 (No. 36)
One atom of each set of equivalent atoms:
Mn (0.0000, 0.0256, 0.0000) x4  5 S 2.29-2.41
Sn (0.0000, 0.2951, 0.5740) x4  5 S 2.61-2.81
Pb (0.0000, 0.3581, 0.8710) x4  6 S 2.85-3.15
Pb (0.0000, 0.3969, 0.2343) x4  6 S 2.91-3.11
S (0.0000, 0.0211, 0.3316) x4  1 Mn 2.29
S (0.0000, 0.1117, 0.5598) x4  1 Mn 2.41
S (0.0000, 0.1547, 0.9309) x4  1 Mn 2.33
S (0.0000, 0.2228, 0.2194) x4  2 Sn 2.72, 1 Pb 2.91
S (0.0000, 0.4506, 0.5965) x4  2 Mn 2.35, 1 Sn 2.61

* spin magnetization: 13.504 Bohr magnetons per cell
* electronic total energy: -181.06 eV per cell
* formation energy from raw total energies: -0.4488 eV/atom
* calculated volume: 834.73 Å³/cell
* density: 5.96 g cm⁻³

This record from Alexandria via LeMat-Bulk describes crystalline SnBiAu2 at its relaxed geometry. The functional is PBE.

Cell: 5.2767 5.2767 3.3663 Å, 90.00 90.00 90.00°
Last column: nearest neighbours and their distance in Å.
Space group P4/mmm (No. 123)
One atom of each set of equivalent atoms:
Sn (0.0000, 0.0000, 0.0000) x1  8 Au 3.13, 2 Sn 3.37
Bi (0.5000, 0.5000, 0.0000) x1  8 Au 3.13, 2 Bi 3.37
Au (0.0000, 0.5000, 0.5000) x2  4 Sn 3.13, 4 Bi 3.13, 2 Au 3.37

* spin magnetization: 0.000 Bohr magnetons per cell
* electronic total energy: -14.39 eV per cell
* calculated volume: 93.73 Å³/cell
* formation energy from the elements: 0.013 eV per atom
* density: 12.78 g cm⁻³

This record from Alexandria via LeMat-Bulk describes crystalline LaYW at its relaxed geometry. The functional is PBE.

Cell: 6.9701 6.9701 6.9701 Å, 90.00 90.00 90.00°
Last column: nearest neighbours and their distance in Å.
Space group F-43m (No. 216)
One atom of each set of equivalent atoms:
La (0.0000, 0.0000, 0.0000) x4  4 W 3.02
Y (0.0000, 0.0000, 0.5000) x4  4 W 3.02
W (0.2500, 0.2500, 0.2500) x4  4 La 3.02, 4 Y 3.02

* spin magnetization: 0.000 Bohr magnetons per cell
* electronic total energy: -88.06 eV per cell
* ΔE to the lowest computed polymorph: 0.75 eV/f.u.
* calculated volume: 338.62 Å³/cell
* formation energy from the elements: 0.776 eV per atom
* density: 8.07 g cm⁻³

This record from Alexandria via LeMat-Bulk describes crystalline NaSiB at its relaxed geometry. The functional is PBE.

Cell: 5.6509 6.7791 6.7533 Å, 90.00 126.66 90.00°
Last column: nearest neighbours and their distance in Å.
Space group P2_1/c (No. 14)
One atom of each set of equivalent atoms:
Na (0.1233, 0.0008, 0.3122) x4  6 B 3.06-3.20, 6 Si 3.11-3.13, 1 Na 3.42
Si (0.4995, 0.6420, 0.6400) x4  3 B 1.95-2.01
B (0.5003, 0.1539, 0.1574) x4  3 Si 1.95-2.01

* spin magnetization: 0.000 Bohr magnetons per cell
* electronic total energy: -52.18 eV per cell
* formation energy from raw total energies: 0.1251 eV/atom
* calculated volume: 207.54 Å³/cell
* density: 1.98 g cm⁻³

This record from Alexandria via LeMat-Bulk describes crystalline NbBP at its relaxed geometry. The functional is PBE.

Cell: 3.3335 3.2179 7.0081 Å, 90.00 103.46 90.00°
Last column: nearest neighbours and their distance in Å.
Space group P2_1/m (No. 11)
One atom of each set of equivalent atoms:
Nb (0.1020, 0.2500, 0.2039) x2  6 B 2.42-2.54, 4 P 2.60-2.61
B (0.4745, 0.2500, 0.9457) x2  2 B 1.77
P (0.3102, 0.2500, 0.6205) x2  1 B 2.22

* spin magnetization: 0.000 Bohr magnetons per cell
* electronic total energy: -47.33 eV per cell
* calculated volume: 73.11 Å³/cell
* formation energy from the elements: -0.503 eV per atom
* density: 6.12 g cm⁻³

This record from Alexandria via LeMat-Bulk describes crystalline Dy4In2Te at its relaxed geometry. The functional is PBE.

Cell: 5.9705 6.4707 10.5169 Å, 90.00 100.85 90.00°
Last column: nearest neighbours and their distance in Å.
Space group P2_1/m (No. 11)
One atom of each set of equivalent atoms:
Dy (0.0520, 0.2500, 0.1411) x2  3 Te 3.14-3.24, 3 In 3.22-3.30
Dy (0.1637, 0.7500, 0.4489) x2  1 Te 2.96, 2 In 3.09-3.28
Dy (0.4007, 0.0051, 0.7317) x4  4 In 3.16-3.37, 3 Dy 3.17-3.46, 1 Te 3.50
In (0.2839, 0.2500, 0.4437) x2  9 Dy 3.09-3.37
In (0.4903, 0.7500, 0.9931) x2  6 Dy 3.16-3.30, 2 In 3.24, 2 Te 3.42-3.50
Te (0.0539, 0.7500, 0.1624) x2  4 Dy 2.96-3.24

* spin magnetization: 0.000 Bohr magnetons per cell
* electronic total energy: -61.06 eV per cell
* formation energy from raw total energies: -0.5006 eV/atom
* calculated volume: 399.04 Å³/cell
* density: 8.38 g cm⁻³

This record from Alexandria via LeMat-Bulk describes crystalline PmPaNb at its relaxed geometry. The functional is PBE.

Cell: 3.4197 19.9184 4.5133 Å, 90.00 90.00 90.00°
Last column: nearest neighbours and their distance in Å.
Space group Cmcm (No. 63)
One atom of each set of equivalent atoms:
Pm (0.0000, 0.0605, 0.2500) x4  1 Nb 3.24, 4 Pm 3.30-3.42, 4 Pa 3.31
Pa (0.0000, 0.3535, 0.2500) x4  1 Nb 2.59
Nb (0.0000, 0.2233, 0.2500) x4  1 Pa 2.59

* spin magnetization: 0.000 Bohr magnetons per cell
* electronic total energy: -93.98 eV per cell
* calculated volume: 307.42 Å³/cell
* formation energy from the elements: 0.274 eV per atom
* density: 10.13 g cm⁻³

Question: spin magnetization of number 7 (SnBiAu2)?
Answer: 0.000 Bohr magnetons per cell